Here is AgPt2I8 after structural relaxation from Alexandria. Energies are from GGA-PBE.

a = 11.6327 Å, b = 8.0285 Å, c = 11.4448 Å
α = 116.79°, β = 90.00°, γ = 136.42°
Atoms (fractional coordinates):
Ag 0.0000 0.0000 0.0000
Pt 0.9785 0.9571 0.6578
Pt 0.0215 0.0429 0.3422
I 0.7314 0.4629 0.6440
I 0.9540 0.2319 0.8842
I 0.7873 0.5746 0.3516
I 0.2686 0.5371 0.3560
I 0.2127 0.4254 0.6484
I 0.2779 0.2319 0.8842
I 0.0460 0.7681 0.1158
I 0.7221 0.7681 0.1158

Output
Space-group type: C2/m (12)
Calculated volume (Å³/cell): 557.4
Formation energy (no corrections) (meV/atom): -58

=====

Here is Zn2CoP2 after structural relaxation from Alexandria. Energies are from GGA-PBE.

a = 5.6296 Å, b = 5.6296 Å, c = 4.8401 Å
α = 90.00°, β = 90.00°, γ = 90.00°
Atoms (fractional coordinates):
Co 0.0000 0.0000 0.0000
P 0.8597 0.6403 0.0000
Co 0.5000 0.5000 0.0000
P 0.3597 0.8597 0.0000
Zn 0.8219 0.6781 0.5000
Zn 0.3219 0.8219 0.5000
Zn 0.1781 0.3219 0.5000
P 0.1403 0.3597 0.0000
P 0.6403 0.1403 0.0000
Zn 0.6781 0.1781 0.5000

Output
Space-group type: P4/mbm (127)
DFT formation energy (eV/atom): -0.092
Calculated volume (Å³/cell): 153.4

=====

Here is LaTb2Pm6Nd after structural relaxation from Alexandria. Energies are from GGA-PBE.

a = 9.8235 Å, b = 8.9778 Å, c = 8.9778 Å
α = 117.63°, β = 94.03°, γ = 94.03°
Atoms (fractional coordinates):
Pm 0.1802 0.5671 0.0222
Tb 0.9539 0.7062 0.8050
La 0.7500 0.5945 0.4055
Pm 0.3794 0.5104 0.2952
Pm 0.6802 0.0222 0.5671
Pm 0.8794 0.2952 0.5104
Pm 0.9435 0.8875 0.2453
Pm 0.8198 0.4329 0.9778
Nd 0.7500 0.0294 0.9706
Tb 0.5461 0.1950 0.2938
Pm 0.0565 0.1125 0.7547
Pm 0.4435 0.2453 0.8875
Tb 0.0461 0.2938 0.1950
Pm 0.5565 0.7547 0.1125
La 0.2500 0.4055 0.5945
Pm 0.6206 0.4896 0.7048
Pm 0.1206 0.7048 0.4896
Pm 0.3198 0.9778 0.4329
Tb 0.4539 0.8050 0.7062
Nd 0.2500 0.9706 0.0294

Output
Space-group type: C2/c (15)
DFT formation energy (eV/atom): 0.115
Calculated volume (Å³/cell): 695.0

=====

Here is ReMo2Se after structural relaxation from Alexandria. Energies are from GGA-PBE.

a = 2.9826 Å, b = 4.9163 Å, c = 5.0779 Å
α = 58.77°, β = 90.00°, γ = 90.00°
Atoms (fractional coordinates):
Mo 0.0000 0.0000 0.0000
Mo 0.5000 0.5000 0.0000
Re 0.5000 0.5000 0.5000
Se 0.0000 0.0000 0.5000

Output
Space-group type: P2/m (10)
Calculated volume (Å³/cell): 63.7
Formation energy (no corrections) (meV/atom): 501

=====

Here is Er2InTe after structural relaxation from Alexandria. Energies are from GGA-PBE.

a = 4.2499 Å, b = 4.4700 Å, c = 12.0120 Å
α = 100.72°, β = 90.00°, γ = 90.00°
Atoms (fractional coordinates):
In 0.7500 0.5437 0.0874
In 0.2500 0.4563 0.9126
Er 0.7500 0.9354 0.8708
Te 0.7500 0.8060 0.6120
Er 0.2500 0.3262 0.6523
Te 0.2500 0.1940 0.3880
Er 0.7500 0.6738 0.3477
Er 0.2500 0.0646 0.1292

Output
Space-group type: Cmcm (63)
Calculated volume (Å³/cell): 224.2
Formation energy (no corrections) (meV/atom): -869

=====

Here is Pa6Co2C after structural relaxation from Alexandria. Energies are from GGA-PBE.

a = 5.8755 Å, b = 6.7145 Å, c = 9.3327 Å
α = 90.00°, β = 87.85°, γ = 90.00°
Atoms (fractional coordinates):
Co 0.5916 0.8815 0.2480
C 0.5000 0.5000 0.0000
Co 0.4084 0.1185 0.7520
Pa 0.6510 0.1749 0.0613
Pa 0.3490 0.8251 0.9387
Co 0.9084 0.3815 0.2520
Pa 0.1510 0.3251 0.5613
Co 0.0916 0.6185 0.7480
Pa 0.6527 0.4476 0.7531
Pa 0.6468 0.1698 0.4401
Pa 0.8490 0.6749 0.4387
Pa 0.1527 0.0524 0.2531
Pa 0.3473 0.5524 0.2469
Pa 0.8532 0.6698 0.0599
Pa 0.1468 0.3302 0.9401
Pa 0.8473 0.9476 0.7469
Pa 0.3532 0.8302 0.5599
C 0.0000 0.0000 0.5000

Output
Space-group type: P2_1/c (14)
DFT formation energy (eV/atom): -0.234
Calculated volume (Å³/cell): 367.9

=====

Here is SmNp2F11 after structural relaxation from Alexandria. Energies are from GGA-PBE.

a = 8.4506 Å, b = 8.7352 Å, c = 8.7352 Å
α = 73.07°, β = 61.07°, γ = 61.07°
Each line ends with the local moment (μB).
Atoms (fractional coordinates):
F 0.3548 0.2943 0.4342  -0.01
F 0.9167 0.4342 0.2943  -0.01
F 0.5833 0.2057 0.0658  -0.01
F 0.4167 0.7943 0.9342  -0.01
F 0.3723 0.7150 0.2850  -0.01
Sm 0.2500 0.2500 0.2500  0.00
F 0.0000 0.0000 0.0000  -0.01
F 0.1452 0.0658 0.2057  -0.01
F 0.8548 0.9342 0.7943  -0.01
Sm 0.7500 0.7500 0.7500  0.00
F 0.0833 0.5658 0.7057  -0.01
Np 0.3485 0.3188 0.6812  3.02
F 0.5501 0.0380 0.6803  -0.01
F 0.6277 0.2850 0.7150  -0.01
Np 0.8485 0.1812 0.8188  3.02
F 0.5000 0.5000 0.5000  -0.01
F 0.0501 0.1803 0.5380  -0.01
F 0.2316 0.5380 0.1803  -0.01
F 0.7316 0.6803 0.0380  -0.01
F 0.6452 0.7057 0.5658  -0.01
F 0.8723 0.7850 0.2150  -0.01
F 0.4499 0.9620 0.3197  -0.01
Np 0.1515 0.8188 0.1812  3.02
Np 0.6515 0.6812 0.3188  3.02
F 0.1277 0.2150 0.7850  -0.01
F 0.7684 0.4620 0.8197  -0.01
F 0.2684 0.3197 0.9620  -0.01
F 0.9499 0.8197 0.4620  -0.01

Output
Space-group type: Ibam (72)
Calculated volume (Å³/cell): 492.6
Formation energy (no corrections) (meV/atom): -3648

=====

Here is P2IrAu after structural relaxation from Alexandria. Energies are from GGA-PBE.

a = 6.1768 Å, b = 3.3564 Å, c = 7.4821 Å
α = 90.00°, β = 106.59°, γ = 90.00°
Atoms (fractional coordinates):
Au 0.7650 0.0000 0.5688
P 0.4016 0.5000 0.8267
P 0.9546 0.5000 0.4141
Au 0.7650 0.5000 0.0688
P 0.9546 0.0000 0.9141
Ir 0.3369 0.5000 0.5059
Ir 0.3369 0.0000 0.0059
P 0.4016 0.0000 0.3267

Output
Space-group type: Cm (8)
DFT formation energy (eV/atom): -0.085
Calculated volume (Å³/cell): 148.7

=====

Here is AcHoTm2Se6 after structural relaxation from Alexandria. Energies are from GGA-PBE.

a = 7.3263 Å, b = 7.3264 Å, c = 7.7103 Å
α = 61.63°, β = 61.64°, γ = 60.00°
Atoms (fractional coordinates):
Ho 0.3179 0.3179 0.0464
Ac 0.8029 0.8029 0.5912
Se 0.7325 0.1562 0.7438
Se 0.3675 0.7326 0.7437
Tm 0.5169 0.5168 0.4495
Se 0.9094 0.6144 0.2418
Se 0.1562 0.3675 0.7438
Tm 0.0094 0.0095 0.9716
Se 0.2345 0.9093 0.2417
Se 0.6144 0.2346 0.2417

Output
Space-group type: R3 (146)
Calculated volume (Å³/cell): 299.7
Formation energy (no corrections) (meV/atom): -1869

=====

Here is Nd5Sm2Dy4 after structural relaxation from Alexandria. Energies are from GGA-PBE.

a = 3.5637 Å, b = 11.7236 Å, c = 9.1035 Å
α = 93.90°, β = 101.29°, γ = 90.00°
Atoms (fractional coordinates):
Nd 0.1763 0.0702 0.3526
Dy 0.0335 0.2593 0.0670
Dy 0.9665 0.7407 0.9330
Nd 0.8237 0.9298 0.6474
Dy 0.3598 0.2032 0.7197
Nd 0.5000 0.0000 0.0000
Nd 0.0958 0.5356 0.1917
Nd 0.9042 0.4644 0.8083
Dy 0.6402 0.7968 0.2803
Sm 0.7163 0.3525 0.4326
Sm 0.2837 0.6475 0.5674

Output
Space-group type: C2/m (12)
DFT formation energy (eV/atom): 0.071
Calculated volume (Å³/cell): 372.1

=====

Here is Cu2HgO after structural relaxation from Alexandria. Energies are from GGA-PBE.

a = 3.0913 Å, b = 3.0913 Å, c = 6.7730 Å
α = 76.81°, β = 76.81°, γ = 60.00°
Atoms (fractional coordinates):
O 0.0000 0.0000 0.0000
Cu 0.2738 0.2738 0.1785
Cu 0.7262 0.7262 0.8215
Hg 0.5000 0.5000 0.5000

Output
Space-group type: R-3m (166)
Calculated volume (Å³/cell): 54.1
Formation energy (no corrections) (meV/atom): -83

=====

Here is BeReO3 after structural relaxation from Alexandria. Energies are from GGA-PBE.

a = 3.8491 Å, b = 3.8491 Å, c = 3.8491 Å
α = 90.00°, β = 90.00°, γ = 90.00°
Each line ends with the local moment (μB).
Atoms (fractional coordinates):
Be 0.5000 0.5000 0.5000  0.27
O 0.0000 0.0000 0.5000  0.02
O 0.0000 0.5000 0.0000  0.02
Re 0.0000 0.0000 0.0000  0.13
O 0.5000 0.0000 0.0000  0.00

Output
Space-group type: Pm-3m (221)
Calculated volume (Å³/cell): 57.0
Formation energy (no corrections) (meV/atom): -607

=====

Here is Fe9Pd11Rh4 after structural relaxation from Alexandria. Energies are from GGA-PBE.

a = 2.7279 Å, b = 11.1758 Å, c = 11.1758 Å
α = 94.21°, β = 90.00°, γ = 90.00°
Each line ends with the local moment (μB).
Atoms (fractional coordinates):
Pd 0.0204 0.1659 0.8341  0.37
Pd 0.0210 0.9220 0.5880  0.36
Pd 0.0210 0.7557 0.7557  0.37
Fe 0.5207 0.8743 0.3770  3.09
Fe 0.5204 0.2045 0.0409  3.03
Pd 0.0214 0.3302 0.6698  0.36
Rh 0.5213 0.7042 0.5404  0.77
Fe 0.5204 0.7955 0.9591  3.03
Fe 0.5207 0.3770 0.8743  3.09
Pd 0.0204 0.8341 0.1659  0.37
Pd 0.0210 0.4120 0.0780  0.36
Pd 0.0210 0.5880 0.9220  0.36
Rh 0.5213 0.2958 0.4596  0.77
Fe 0.5204 0.9591 0.7955  3.03
Pd 0.0210 0.2443 0.2443  0.37
Pd 0.0214 0.6698 0.3302  0.36
Rh 0.5213 0.5404 0.7042  0.77
Pd 0.0203 0.0000 0.0000  0.37
Fe 0.5207 0.1257 0.6230  3.09
Fe 0.5204 0.0409 0.2045  3.03
Rh 0.5213 0.4596 0.2958  0.77
Fe 0.0207 0.5000 0.5000  3.08
Pd 0.0210 0.0780 0.4120  0.36
Fe 0.5207 0.6230 0.1257  3.09

Output
Space-group type: Cmmm (65)
DFT formation energy (eV/atom): -0.022
Calculated volume (Å³/cell): 339.8

=====

Here is P2BrCl after structural relaxation from Alexandria. Energies are from GGA-PBE.

a = 4.5995 Å, b = 4.5995 Å, c = 7.8846 Å
α = 90.00°, β = 90.00°, γ = 136.87°
Atoms (fractional coordinates):
P 0.5000 0.5000 0.2095
Cl 0.5000 0.5000 0.7880
Br 0.0000 0.0000 0.4688
P 0.0000 0.0000 0.0336

Output
Space-group type: Cmm2 (35)
Calculated volume (Å³/cell): 114.0
Formation energy (no corrections) (meV/atom): 304

=====

Here is Be2MoAs after structural relaxation from Alexandria. Energies are from GGA-PBE.

a = 3.5527 Å, b = 3.0716 Å, c = 4.6170 Å
α = 89.96°, β = 90.00°, γ = 90.00°
Atoms (fractional coordinates):
Be 0.0000 0.7503 0.0329
Be 0.0000 0.7497 0.4671
Mo 0.5000 0.2500 0.2500
As 0.5000 0.7500 0.7500

Output
Space-group type: Pmmm (47)
DFT formation energy (eV/atom): 0.114
Calculated volume (Å³/cell): 50.4

=====

Here is CaMoRu after structural relaxation from Alexandria. Energies are from GGA-PBE.

a = 4.4423 Å, b = 4.4423 Å, c = 4.4423 Å
α = 60.00°, β = 60.00°, γ = 60.00°
Atoms (fractional coordinates):
Ca 0.0000 0.0000 0.0000
Ru 0.2500 0.2500 0.2500
Mo 0.5000 0.5000 0.5000

Output
Space-group type: F-43m (216)
DFT formation energy (eV/atom): 0.723
Calculated volume (Å³/cell): 62.0

=====

Here is Li3SmSc2Te6 after structural relaxation from Alexandria. Energies are from GGA-PBE.

a = 7.3633 Å, b = 7.3633 Å, c = 7.4220 Å
α = 99.55°, β = 99.55°, γ = 120.02°
Atoms (fractional coordinates):
Sc 0.6675 0.3325 0.0000
Te 0.2667 0.2667 0.7504
Te 0.4334 0.0834 0.2490
Li 0.8383 0.1617 0.5000
Li 0.5000 0.5000 0.5000
Te 0.5666 0.9166 0.7510
Te 0.9166 0.5666 0.7510
Sc 0.3325 0.6675 0.0000
Te 0.7333 0.7333 0.2496
Li 0.1617 0.8383 0.5000
Te 0.0834 0.4334 0.2490
Sm 0.0000 0.0000 0.0000

Output
Space-group type: C2/m (12)
Calculated volume (Å³/cell): 328.6
Formation energy (no corrections) (meV/atom): -1211

=====

Here is Ac4LaEr after structural relaxation from Alexandria. Energies are from GGA-PBE.

a = 6.2175 Å, b = 7.4861 Å, c = 10.6817 Å
α = 90.00°, β = 90.00°, γ = 90.00°
Atoms (fractional coordinates):
La 0.0003 0.2500 0.0000
Er 0.4997 0.7500 0.5000
Ac 0.4999 0.0000 0.1701
Ac 0.9999 0.0000 0.3346
Ac 0.5001 0.5000 0.1701
Ac 0.0001 0.5000 0.3346
La 0.9997 0.7500 0.0000
Ac 0.5001 0.0000 0.8299
Ac 0.4999 0.5000 0.8299
Ac 0.0001 0.0000 0.6654
Er 0.5003 0.2500 0.5000
Ac 0.9999 0.5000 0.6654

Output
Space-group type: Pmmm (47)
DFT formation energy (eV/atom): 0.137
Calculated volume (Å³/cell): 497.2

=====

Here is Rb4ZnF5 after structural relaxation from Alexandria. Energies are from GGA-PBE.

a = 5.7893 Å, b = 6.8031 Å, c = 6.8031 Å
α = 79.57°, β = 64.82°, γ = 64.82°
Each line ends with the local moment (μB).
Atoms (fractional coordinates):
F 0.2981 0.8078 0.6293  0.04
Rb 0.8112 0.8055 0.6077  0.01
Rb 0.4189 0.3923 0.8055  0.01
Rb 0.2244 0.1945 0.3923  0.01
F 0.7351 0.1922 0.3707  0.04
F 0.9274 0.3707 0.8078  0.04
F 0.3571 0.0000 0.0000  0.04
F 0.1058 0.6293 0.1922  0.04
Rb 0.6167 0.6077 0.1945  0.01
Zn 0.0156 0.0000 0.0000  0.33

Output
Space-group type: I4 (79)
Calculated volume (Å³/cell): 219.4
Formation energy (no corrections) (meV/atom): -2319

=====

Here is SmGdMgTc after structural relaxation from Alexandria. Energies are from GGA-PBE.

a = 5.1002 Å, b = 5.1002 Å, c = 5.1002 Å
α = 60.00°, β = 60.00°, γ = 60.00°
Each line ends with the local moment (μB).
Atoms (fractional coordinates):
Sm 0.0000 0.0000 0.0000  -0.01
Gd 0.5000 0.5000 0.5000  7.08
Mg 0.7500 0.7500 0.7500  0.00
Tc 0.2500 0.2500 0.2500  -0.18

Output
Space-group type: F-43m (216)
DFT formation energy (eV/atom): 0.039
Calculated volume (Å³/cell): 93.8